An optimized crystal structure of Ho4NpS7, computed with GGA-PBE.

Properties
Theoretical density ... 6799 kg/m3
Formation energy (no corrections) ... -1.91 eV/atom
Total moment ... 4.4 μB/f.u.

a b c (Å): 6.688 6.688 11.607
angles (deg): 103.99 103.99 33.03
Fractional positions:
Ho 0.000 0.000 0.000
Ho 0.186 0.186 0.767
Ho 0.583 0.583 0.391
Ho 0.885 0.885 0.580
Np 0.769 0.769 0.156
S 0.142 0.142 0.229
S 0.226 0.226 0.529
S 0.385 0.385 0.075
S 0.544 0.544 0.629
S 0.622 0.622 0.926
S 0.843 0.843 0.794
S 0.927 0.927 0.366